Entry 1:
The following is a PBE calculation of crystalline Ga2H6Se3O12 at its relaxed geometry, from the Alexandria database.

a = 8.6233 Å, b = 8.6233 Å, c = 8.6233 Å
α = 65.82°, β = 65.82°, γ = 65.82°
Sites, in units of the cell vectors:
Ga1 0.0000 0.0000 0.0000
Ga2 0.2356 0.2356 0.2356
Ga3 0.5000 0.5000 0.5000
Ga4 0.7356 0.7356 0.7356
H1 0.0341 0.7628 0.7286
H2 0.0705 0.5896 0.2047
H3 0.0896 0.5705 0.7047
H4 0.2047 0.0705 0.5896
H5 0.2286 0.2628 0.5341
H6 0.2628 0.5341 0.2286
H7 0.5341 0.2286 0.2628
H8 0.5705 0.7047 0.0896
H9 0.5896 0.2047 0.0705
H10 0.7047 0.0896 0.5705
H11 0.7286 0.0341 0.7628
H12 0.7628 0.7286 0.0341
Se1 0.2281 0.8409 0.2907
Se2 0.2907 0.2281 0.8409
Se3 0.3409 0.7281 0.7907
Se4 0.7281 0.7907 0.3409
Se5 0.7907 0.3409 0.7281
Se6 0.8409 0.2907 0.2281
O1 0.0894 0.2108 0.8623
O2 0.1398 0.9014 0.7891
O3 0.1660 0.4878 0.2511
O4 0.2108 0.8623 0.0894
O5 0.2214 0.3462 0.9908
O6 0.2511 0.1660 0.4878
O7 0.2891 0.4013 0.6398
O8 0.3462 0.9908 0.2214
O9 0.3623 0.7108 0.5894
O10 0.4014 0.6398 0.2891
O11 0.4878 0.2511 0.1660
O12 0.4908 0.8462 0.7214
O13 0.5894 0.3623 0.7108
O14 0.6398 0.2891 0.4014
O15 0.6660 0.7511 0.9878
O16 0.7108 0.5894 0.3623
O17 0.7214 0.4908 0.8462
O18 0.7511 0.9878 0.6660
O19 0.7891 0.1398 0.9014
O20 0.8462 0.7214 0.4908
O21 0.8623 0.0894 0.2108
O22 0.9014 0.7891 0.1398
O23 0.9878 0.6660 0.7511
O24 0.9908 0.2214 0.3462

Calculated total energy (eV per atom): -5.282

---

Entry 2:
The following is a PBE calculation of crystalline UInGaHg at its relaxed geometry, from the Alexandria database.

a = 5.0661 Å, b = 5.0661 Å, c = 5.0661 Å
α = 60.00°, β = 60.00°, γ = 60.00°
Sites, in units of the cell vectors:
U1 0.0000 0.0000 0.0000
In1 0.5000 0.5000 0.5000
Ga1 0.7500 0.7500 0.7500
Hg1 0.2500 0.2500 0.2500

Energy of formation (eV per atom): 0.11

---

Entry 3:
The following is a PBE calculation of crystalline Sn2Ge2Bi at its relaxed geometry, from the Alexandria database.

a = 7.4441 Å, b = 7.4441 Å, c = 7.4441 Å
α = 145.33°, β = 145.33°, γ = 49.85°
Sites, in units of the cell vectors:
Sn1 0.2500 0.7500 0.5000
Sn2 0.7500 0.2500 0.5000
Ge1 0.0962 0.0962 0.0000
Ge2 0.9038 0.9038 0.0000
Bi1 0.5000 0.5000 0.0000

Energy of formation (eV per atom): 0.26

---

Entry 4:
The following is a PBE calculation of crystalline NaSiNi2Mo at its relaxed geometry, from the Alexandria database.

a = 4.3333 Å, b = 4.3333 Å, c = 4.6469 Å
α = 90.00°, β = 90.00°, γ = 90.00°
Sites, in units of the cell vectors:
Na1 0.0000 0.0000 0.0000
Si1 0.5000 0.5000 0.5000
Ni1 0.0000 0.5000 0.5000
Ni2 0.5000 0.0000 0.5000
Mo1 0.5000 0.5000 0.0000

Raw formation energy (eV/atom): 0.644

---

Entry 5:
The following is a PBE calculation of crystalline NdTmSc2Bi4 at its relaxed geometry, from the Alexandria database.

a = 7.6100 Å, b = 4.4021 Å, c = 7.6185 Å
α = 90.00°, β = 109.52°, γ = 90.00°
Sites, in units of the cell vectors:
Nd1 0.0000 0.0000 0.0000
Tm1 0.0000 0.5000 0.5000
Sc1 0.5000 0.0000 0.5000
Sc2 0.5000 0.5000 0.0000
Bi1 0.2654 0.0000 0.7495
Bi2 0.2694 0.5000 0.2621
Bi3 0.7306 0.5000 0.7379
Bi4 0.7346 0.0000 0.2505

Energy of formation (eV per atom): -0.75

---

Entry 6:
The following is a PBE calculation of crystalline Al2ZnHg at its relaxed geometry, from the Alexandria database.

a = 4.7575 Å, b = 4.7575 Å, c = 4.7575 Å
α = 60.00°, β = 60.00°, γ = 60.00°
Sites, in units of the cell vectors:
Al1 0.0000 0.0000 0.0000
Al2 0.2500 0.2500 0.2500
Zn1 0.5000 0.5000 0.5000
Hg1 0.7500 0.7500 0.7500

Energy of formation (eV per atom): 0.26

---

Entry 7:
The following is a PBE calculation of crystalline TaInSiPt2 at its relaxed geometry, from the Alexandria database.

a = 4.8448 Å, b = 4.8448 Å, c = 5.1306 Å
α = 90.00°, β = 90.00°, γ = 90.00°
Sites, in units of the cell vectors:
Ta1 0.0000 0.0000 0.0000
In1 0.0000 0.0000 0.5000
Si1 0.5000 0.5000 0.0000
Pt1 0.0000 0.5000 0.5000
Pt2 0.5000 0.0000 0.5000

Raw formation energy (eV/atom): 1.626

---

Entry 8:
The following is a PBE calculation of crystalline La3Co4Ge4 at its relaxed geometry, from the Alexandria database.

a = 8.0711 Å, b = 8.0711 Å, c = 6.7587 Å
α = 114.75°, β = 114.75°, γ = 30.97°
Sites, in units of the cell vectors:
La1 0.0000 0.0000 0.0000
La2 0.1336 0.1336 0.6332
La3 0.8664 0.8664 0.3668
Co1 0.3237 0.3237 0.0131
Co2 0.3238 0.3238 0.6348
Co3 0.6762 0.6762 0.3652
Co4 0.6763 0.6763 0.9869
Ge1 0.2161 0.2161 0.2160
Ge2 0.4998 0.4998 0.3091
Ge3 0.5002 0.5002 0.6909
Ge4 0.7839 0.7839 0.7840

Energy of formation (eV per atom): -0.45

---

Entry 9:
The following is a PBE calculation of crystalline La2TbGd at its relaxed geometry, from the Alexandria database.

a = 3.6863 Å, b = 3.6863 Å, c = 10.2135 Å
α = 90.00°, β = 90.00°, γ = 90.00°
Sites, in units of the cell vectors:
La1 0.0000 0.0000 0.2479
La2 0.0000 0.0000 0.7521
Tb1 0.5000 0.5000 0.0000
Gd1 0.5000 0.5000 0.5000

Energy of formation (eV per atom): 0.02

---

Entry 10:
The following is a PBE calculation of crystalline HOsRu2Rh at its relaxed geometry, from the Alexandria database.

a = 3.8877 Å, b = 3.8877 Å, c = 3.8815 Å
α = 90.00°, β = 90.00°, γ = 90.00°
Sites, in units of the cell vectors:
H1 0.0000 0.0000 0.0000
Os1 0.0000 0.0000 0.5000
Ru1 0.0000 0.5000 0.0000
Ru2 0.5000 0.0000 0.0000
Rh1 0.5000 0.5000 0.5000

Calculated total energy (eV per atom): -7.930

---

Entry 11:
The following is a PBE calculation of crystalline Ce7Sn2Os2 at its relaxed geometry, from the Alexandria database.

a = 7.0083 Å, b = 7.0083 Å, c = 6.7131 Å
α = 90.00°, β = 90.00°, γ = 108.55°
Sites, in units of the cell vectors:
Ce1 0.0000 0.0000 0.0000
Ce2 0.0000 0.5000 0.2706
Ce3 0.0000 0.5000 0.7294
Ce4 0.5000 0.0000 0.2706
Ce5 0.5000 0.0000 0.7294
Ce6 0.5000 0.5000 0.2096
Ce7 0.5000 0.5000 0.7904
Sn1 0.1781 0.1781 0.5000
Sn2 0.8219 0.8219 0.5000
Os1 0.2682 0.7318 0.0000
Os2 0.7318 0.2682 0.0000

Energy of formation (eV per atom): -0.22